[1]
The following is a PBE calculation of a geometry-optimized Nd2Ho2Tl3 structure, from the Alexandria database.

Its energy above the most stable polymorph in this dataset is 0.044 eV per atom. The raw total energy is -3.870 eV/atom.

It has space group P-1 (No. 2), with a = 3.790 Å, b = 7.017 Å, c = 8.998 Å, α = 69.29°, β = 89.91° and γ = 74.37°. The distinct sites, in fractional coordinates, are Nd at (0.112, 0.276, 0.443), Ho at (0.379, 0.747, 0.179), Tl at (0.000, 0.500, 0.000) and Tl at (0.304, 0.890, 0.791).


[2]
The following is a PBE calculation of a geometry-optimized InMo structure, from the Alexandria database.

Its energy above the most stable polymorph in this dataset is 0.272 eV per atom. The raw total energy is -6.298 eV/atom.

It has space group Fd-3m (No. 227, origin choice 2), with a = 6.636 Å, b = 6.636 Å, c = 6.636 Å, α = 90.00°, β = 90.00° and γ = 90.00°. The distinct sites, in fractional coordinates, are In at (0.125, 0.125, 0.125) and Mo at (0.125, 0.125, 0.625).


[3]
The following is a PBE calculation of a geometry-optimized PmGa2Ag4 structure, from the Alexandria database.

Its energy above the most stable polymorph in this dataset is 0.000 eV per atom. The raw total energy is -3.417 eV/atom.

It has space group P4_2/mnm (No. 136), with a = 8.017 Å, b = 8.017 Å, c = 4.292 Å, α = 90.00°, β = 90.00° and γ = 90.00°. The distinct sites, in fractional coordinates, are Pm at (0.000, 0.000, 0.000), Ga at (0.209, 0.209, 0.500) and Ag at (0.093, 0.656, 0.500).


Formation enthalpy at 0 K (eV/f.u.)
-1.302, 0.973, -1.712